Entry from Alexandria: a relaxed CeZr2Al6 crystal (PBE).

Cell: 4.258 6.997 13.005 Å, 90.00 90.00 90.00°
Space group Immm (No. 71)
Inequivalent atoms, fractional coordinates:
1 Ce 0.000 0.000 0.000 x2
2 Zr 0.000 0.500 0.118 x4
3 Al 0.000 0.181 0.500 x4
4 Al 0.000 0.294 0.310 x8

E above lowest polymorph: 0.146 eV per atom
energy of formation: -264 meV/atom
total magnetization: 0.10 μB/atom
DOS(E_F): 21.3 states/eV/cell